Entry from the Alexandria database: crystalline Pm8Nd6Y at its relaxed geometry (PBE).

Structure (POSCAR):
```
Pm8Nd6Y
1.0
-3.077 0.239 -5.948
7.745 4.097 -3.842
-0.842 -9.530 0.053
Nd Pm Y
6 8 1
direct
0.660 0.653 0.084
0.660 0.916 0.569
0.340 0.084 0.431
0.340 0.347 0.916
0.660 0.431 0.347
0.340 0.569 0.653
0.162 0.972 0.718
0.838 0.718 0.746
0.838 0.254 0.972
0.162 0.282 0.254
0.111 0.667 0.333
0.838 0.028 0.282
0.889 0.333 0.667
0.162 0.746 0.028
0.500 0.000 0.000
```

Values from the calculation:
excess energy over the best structure of this formula in the dataset	4.7	kJ per mole of atoms
DOS(E_F)	21.60	states/eV/f.u.
E_form	3.70	kcal/mol of atoms
spin magnetization	0.0	Bohr magnetons per cell
DFT total energy	-0.3463	Ry per atom